[1]
A geometry-optimized Rb2BaPmCl8 structure. Source: Alexandria via LeMat-Bulk, functional GGA-PBE.

```
Rb2BaPmCl8
1.0
4.9711 -0.0678 0.1282
0.1062 8.0207 -0.0115
0.2578 0.0109 10.0742
Rb Ba Pm Cl
2 1 1 8
direct
0.5046 0.4999 0.7520
0.4954 0.5001 0.2480
0.0000 0.0000 0.5000
0.0000 0.0000 0.0000
0.9974 0.7854 0.2211
0.5000 0.8004 0.9999
0.9973 0.2147 0.2211
0.0026 0.2146 0.7789
0.5000 0.1996 0.0001
0.0027 0.7853 0.7789
0.4998 0.7625 0.5001
0.5002 0.2375 0.4999
```

Computed properties:
Formation energy without anion corrections, eV/atom: -1.9844
Symmetry: P2/m

***

[2]
A geometry-optimized AlZn2Pb2 structure. Source: Alexandria via LeMat-Bulk, functional GGA-PBE.

```
AlZn2Pb2
1.0
-5.7582 -3.0421 2.5614
3.2681 -6.1880 -0.0024
1.5275 0.8050 4.3900
Pb Zn Al
4 4 2
direct
0.1786 0.6786 0.5000
0.6786 0.8214 0.5000
0.8214 0.3214 0.5000
0.3214 0.1786 0.5000
0.3682 0.8682 0.0000
0.8682 0.6318 0.0000
0.6318 0.1318 0.0000
0.1318 0.3682 0.0000
0.0000 0.0000 0.0000
0.5000 0.5000 0.0000
```

Computed properties:
Symmetry: P4/mbm
Formation energy from the elements, eV per atom: 0.163

***

[3]
A geometry-optimized KBeNi2 structure. Source: Alexandria via LeMat-Bulk, functional GGA-PBE.

```
KBeNi2
1.0
2.6506 0.0000 0.0000
0.0000 4.8870 0.0000
0.0000 0.0000 4.5219
Ni K Be
2 1 1
direct
0.0000 0.0000 0.0000
0.5000 0.5000 0.0000
0.0000 0.5000 0.5000
0.5000 0.0000 0.5000
```

Computed properties:
Symmetry: Pmmm
Formation energy from the elements, eV per atom: 0.996

***

[4]
A geometry-optimized Zn2GeRh2 structure. Source: Alexandria via LeMat-Bulk, functional GGA-PBE.

```
Zn2GeRh2
1.0
-6.9470 0.5105 -1.2395
-0.8306 -6.7742 1.8651
-0.4456 0.8372 2.8425
Ge Rh Zn
2 4 4
direct
0.0000 0.0000 0.0000
0.5000 0.5000 0.0000
0.1707 0.6707 0.5000
0.6707 0.8293 0.5000
0.8293 0.3293 0.5000
0.3293 0.1707 0.5000
0.3735 0.8735 0.0000
0.8735 0.6265 0.0000
0.6265 0.1265 0.0000
0.1265 0.3735 0.0000
```

Computed properties:
Symmetry: P4/mbm
Polymorph energy (0 for the lowest one), meV per atom: 253
Formation energy from the elements, eV per atom: -0.117

***

[5]
A geometry-optimized ZnCoIr3 structure. Source: Alexandria via LeMat-Bulk, functional GGA-PBE.

```
ZnCoIr3
1.0
4.4884 0.0000 0.0000
0.0000 4.4884 0.0000
0.0000 0.0000 4.4884
Zn Ir Co
1 3 1
direct
0.0000 0.0000 0.0000
0.0000 0.5000 0.0000
0.0000 0.0000 0.5000
0.5000 0.0000 0.0000
0.5000 0.5000 0.5000
```

Computed properties:
Symmetry: Pm-3m
Polymorph energy (0 for the lowest one), meV per atom: 443
Formation energy from the elements, eV per atom: 1.782

***

[6]
A geometry-optimized CsRbTl3In structure. Source: Alexandria via LeMat-Bulk, functional GGA-PBE.

```
CsRbTl3In
1.0
7.9192 0.0000 0.0000
0.0000 8.3434 0.0000
0.0000 -4.1717 8.0331
Cs Rb Tl In
2 2 6 2
direct
0.7500 0.3338 0.6675
0.2500 0.6662 0.3325
0.2500 0.3647 0.7295
0.7500 0.6353 0.2705
0.2500 0.1271 0.2542
0.0000 0.2150 0.0000
0.5000 0.7850 0.0000
0.5000 0.2150 0.0000
0.0000 0.7850 0.0000
0.7500 0.8729 0.7458
0.2500 0.9027 0.8055
0.7500 0.0973 0.1945
```

Computed properties:
Symmetry: Cmcm
Formation energy from the elements, eV per atom: -0.063